<w>
Be2In2Mo (GGA-PBE, relaxed); space group = I4/mmm (139); DOS at the Fermi energy = 3.4 states/eV/f.u.
1.0
2.9960 0.0000 0.0000
0.0000 2.9960 0.0000
1.4980 1.4980 8.8990
In Be Mo
2 2 1
Direct
0.3841 0.3841 0.2318 In
0.6159 0.6159 0.7682 In
0.2500 0.7500 0.5000 Be
0.7500 0.2500 0.5000 Be
0.0000 0.0000 0.0000 Mo

<x>
Be2In2Mo (GGA-PBE, relaxed); space group = P4/mbm (127); DOS at the Fermi energy = 3.0 states/eV/f.u.
1.0
-4.0893 1.1740 -5.9709
-5.8542 -2.7224 3.4741
-0.6769 2.7330 1.0010
Be In Mo
4 4 2
Direct
0.1626 0.6626 0.5000 Be
0.8374 0.3374 0.5000 Be
0.6626 0.8374 0.5000 Be
0.3374 0.1626 0.5000 Be
0.1411 0.3589 0.0000 In
0.3589 0.8589 0.0000 In
0.8589 0.6411 0.0000 In
0.6411 0.1411 0.0000 In
0.5000 0.5000 0.0000 Mo
0.0000 0.0000 0.0000 Mo

Preferred: <w>; penalty for the next structure: 162 meV per atom.